Compound: TlGeI
Source: Alexandria
Functional: PBE
Structure: relaxed

## Properties
- M_tot: 0.000 μB/cell
- ΔE_f (raw): -0.06 eV per atom

The structure in CIF format:
```
data_TlGeI
_cell_length_a 8.401
_cell_length_b 6.289
_cell_length_c 8.842
_cell_angle_alpha 90.00
_cell_angle_beta 102.32
_cell_angle_gamma 90.00
_symmetry_space_group_name_H-M 'C 1 2/m 1'
_symmetry_Int_Tables_number 12
loop_
_symmetry_equiv_pos_as_xyz
'x,y,z'
'-x,-y,-z'
'-x,y,-z'
'x,-y,z'
'x+1/2,y+1/2,z'
'-x+1/2,-y+1/2,-z'
'-x+1/2,y+1/2,-z'
'x+1/2,-y+1/2,z'
loop_
_atom_site_label
_atom_site_type_symbol
_atom_site_fract_x
_atom_site_fract_y
_atom_site_fract_z
Tl1 Tl 0.062 0.000 0.201
Ge1 Ge 0.150 0.500 0.004
I1 I 0.193 0.500 0.327
```



Compound: TlGe2I8
Source: Alexandria
Functional: PBE
Structure: relaxed

## Properties
- M_tot: 0.000 μB/cell
- ΔE_f (raw): -0.30 eV per atom

The structure in CIF format:
```
data_TlGe2I8
_cell_length_a 14.887
_cell_length_b 11.501
_cell_length_c 7.566
_cell_angle_alpha 90.00
_cell_angle_beta 103.95
_cell_angle_gamma 90.00
_symmetry_space_group_name_H-M 'C 1 2/m 1'
_symmetry_Int_Tables_number 12
loop_
_symmetry_equiv_pos_as_xyz
'x,y,z'
'-x,-y,-z'
'-x,y,-z'
'x,-y,z'
'x+1/2,y+1/2,z'
'-x+1/2,-y+1/2,-z'
'-x+1/2,y+1/2,-z'
'x+1/2,-y+1/2,z'
loop_
_atom_site_label
_atom_site_type_symbol
_atom_site_fract_x
_atom_site_fract_y
_atom_site_fract_z
Tl1 Tl 0.000 0.000 0.000
Ge1 Ge 0.215 0.000 0.695
I1 I 0.112 0.500 0.114
I2 I 0.125 0.184 0.766
I3 I 0.211 0.000 0.347
```



Compound: Tl2GeI6
Source: Alexandria
Functional: PBE
Structure: relaxed

## Properties
- M_tot: 0.000 μB/cell
- ΔE_f (raw): -0.29 eV per atom

The structure in CIF format:
```
data_Tl2GeI6
_cell_length_a 7.606
_cell_length_b 7.606
_cell_length_c 13.465
_cell_angle_alpha 90.00
_cell_angle_beta 90.00
_cell_angle_gamma 90.00
_symmetry_space_group_name_H-M 'P 42/m n m'
_symmetry_Int_Tables_number 136
_symmetry_space_group_name_Hall '-P 4n 2n'
loop_
_atom_site_label
_atom_site_type_symbol
_atom_site_fract_x
_atom_site_fract_y
_atom_site_fract_z
Tl1 Tl 0.000 0.000 0.162
Ge1 Ge 0.000 0.000 0.500
I1 I 0.195 0.195 0.345
I2 I 0.228 0.228 0.000
```



Compound: Tl6GeI8
Source: Alexandria
Functional: PBE
Structure: relaxed

## Properties
- M_tot: 0.000 μB/cell
- ΔE_f (raw): -0.58 eV per atom

The structure in CIF format:
```
data_Tl6GeI8
_cell_length_a 10.4998
_cell_length_b 10.4998
_cell_length_c 20.3164
_cell_angle_alpha 90.00
_cell_angle_beta 90.00
_cell_angle_gamma 120.00
_symmetry_space_group_name_H-M 'R -3'
_symmetry_Int_Tables_number 148
_symmetry_space_group_name_Hall '-R 3'
loop_
_atom_site_label
_atom_site_type_symbol
_atom_site_fract_x
_atom_site_fract_y
_atom_site_fract_z
Tl1 Tl 0.0198 0.6262 0.4263
Ge1 Ge 0.0000 0.0000 0.5000
I1 I 0.0000 0.0000 0.1629
I2 I 0.0069 0.7659 0.5853
```



Compound: TlGeI2
Source: Alexandria
Functional: PBE
Structure: relaxed

## Properties
- M_tot: 0.000 μB/cell
- ΔE to the lowest computed polymorph: 0.38 eV/f.u.
- ΔE_f (raw): 0.02 eV per atom

The structure in CIF format:
```
data_TlGeI2
_cell_length_a 8.022
_cell_length_b 8.022
_cell_length_c 8.022
_cell_angle_alpha 90.00
_cell_angle_beta 90.00
_cell_angle_gamma 90.00
_symmetry_space_group_name_H-M 'F m -3 m'
_symmetry_Int_Tables_number 225
_symmetry_space_group_name_Hall '-F 4 2 3'
loop_
_atom_site_label
_atom_site_type_symbol
_atom_site_fract_x
_atom_site_fract_y
_atom_site_fract_z
Tl1 Tl 0.000 0.000 0.000
Ge1 Ge 0.000 0.000 0.500
I1 I 0.250 0.250 0.250
```



Compound: Tl3Ge2I8
Source: Alexandria
Functional: PBE
Structure: relaxed

## Properties
- M_tot: 0.000 μB/cell
- ΔE_f (raw): -0.37 eV per atom

The structure in CIF format:
```
data_Tl3Ge2I8
_cell_length_a 8.6562
_cell_length_b 8.6562
_cell_length_c 28.4460
_cell_angle_alpha 90.00
_cell_angle_beta 90.00
_cell_angle_gamma 120.00
_symmetry_space_group_name_H-M 'R -3 m'
_symmetry_Int_Tables_number 166
_symmetry_space_group_name_Hall '-R 3 2"'
loop_
_atom_site_label
_atom_site_type_symbol
_atom_site_fract_x
_atom_site_fract_y
_atom_site_fract_z
Tl1 Tl 0.0000 0.0000 0.0000
Tl2 Tl 0.0000 0.0000 0.1931
Ge1 Ge 0.0000 0.0000 0.4074
I1 I 0.0000 0.0000 0.3124
I2 I 0.0276 0.5138 0.7672
```



Compound: Tl2GeI
Source: Alexandria
Functional: PBE
Structure: relaxed

## Properties
- M_tot: 0.000 μB/cell
- ΔE to the lowest computed polymorph: 0.52 eV/f.u.
- ΔE_f (raw): 0.19 eV per atom

The structure in CIF format:
```
data_Tl2GeI
_cell_length_a 7.920
_cell_length_b 7.920
_cell_length_c 7.920
_cell_angle_alpha 90.00
_cell_angle_beta 90.00
_cell_angle_gamma 90.00
_symmetry_space_group_name_H-M 'F m -3 m'
_symmetry_Int_Tables_number 225
_symmetry_space_group_name_Hall '-F 4 2 3'
loop_
_atom_site_label
_atom_site_type_symbol
_atom_site_fract_x
_atom_site_fract_y
_atom_site_fract_z
Tl1 Tl 0.250 0.250 0.250
Ge1 Ge 0.000 0.000 0.000
I1 I 0.000 0.000 0.500
```



Compound: TlGeI2
Source: Alexandria
Functional: PBE
Structure: relaxed

## Properties
- M_tot: 0.000 μB/cell
- ΔE to the lowest computed polymorph: 0.21 eV/f.u.
- ΔE_f (raw): -0.02 eV per atom

The structure in CIF format:
```
data_TlGeI2
_cell_length_a 6.656
_cell_length_b 6.656
_cell_length_c 17.510
_cell_angle_alpha 90.00
_cell_angle_beta 90.00
_cell_angle_gamma 90.00
_symmetry_space_group_name_H-M 'I -4 2 d'
_symmetry_Int_Tables_number 122
_symmetry_space_group_name_Hall 'I -4 2bw'
loop_
_atom_site_label
_atom_site_type_symbol
_atom_site_fract_x
_atom_site_fract_y
_atom_site_fract_z
Tl1 Tl 0.000 0.000 0.000
Ge1 Ge 0.000 0.000 0.500
I1 I 0.187 0.250 0.625
```



Compound: TlGe3I
Source: Alexandria
Functional: PBE
Structure: relaxed

## Properties
- M_tot: 0.491 μB/cell
- ΔE to the lowest computed polymorph: 0.00 eV/f.u.
- ΔE_f (raw): 0.90 eV per atom

The structure in CIF format:
```
data_TlGe3I
_cell_length_a 5.509
_cell_length_b 5.509
_cell_length_c 5.509
_cell_angle_alpha 90.00
_cell_angle_beta 90.00
_cell_angle_gamma 90.00
_symmetry_space_group_name_H-M 'P m -3 m'
_symmetry_Int_Tables_number 221
_symmetry_space_group_name_Hall '-P 4 2 3'
loop_
_atom_site_label
_atom_site_type_symbol
_atom_site_fract_x
_atom_site_fract_y
_atom_site_fract_z
Tl1 Tl 0.000 0.000 0.000
Ge1 Ge 0.000 0.000 0.500
I1 I 0.500 0.500 0.500
```



Compound: TmTlGeI6
Source: Alexandria
Functional: PBE
Structure: relaxed

## Properties
- M_tot: 0.000 μB/cell
- ΔE_f (raw): -0.86 eV per atom

The structure in CIF format:
```
data_TmTlGeI6
_cell_length_a 7.7687
_cell_length_b 7.7687
_cell_length_c 7.7075
_cell_angle_alpha 90.00
_cell_angle_beta 90.00
_cell_angle_gamma 120.00
_symmetry_space_group_name_H-M 'P 3 1 2'
_symmetry_Int_Tables_number 149
loop_
_symmetry_equiv_pos_as_xyz
'x,y,z'
'-y,x-y,z'
'-x+y,-x,z'
'-y,-x,-z'
'-x+y,y,-z'
'x,x-y,-z'
loop_
_atom_site_label
_atom_site_type_symbol
_atom_site_fract_x
_atom_site_fract_y
_atom_site_fract_z
Tm1 Tm 0.0000 0.0000 0.0000
Tl1 Tl 0.3333 0.6667 0.5000
Ge1 Ge 0.6667 0.3333 0.0000
I1 I 0.3316 0.0321 0.2246
```



Compound: TlVGeI6
Source: Alexandria
Functional: PBE
Structure: relaxed

## Properties
- M_tot: 2.000 μB/cell
- ΔE_f (raw): -0.44 eV per atom

The structure in CIF format:
```
data_TlVGeI6
_cell_length_a 7.5103
_cell_length_b 7.5103
_cell_length_c 7.5469
_cell_angle_alpha 90.00
_cell_angle_beta 90.00
_cell_angle_gamma 120.00
_symmetry_space_group_name_H-M 'P 3 1 2'
_symmetry_Int_Tables_number 149
loop_
_symmetry_equiv_pos_as_xyz
'x,y,z'
'-y,x-y,z'
'-x+y,-x,z'
'-y,-x,-z'
'-x+y,y,-z'
'x,x-y,-z'
loop_
_atom_site_label
_atom_site_type_symbol
_atom_site_fract_x
_atom_site_fract_y
_atom_site_fract_z
Tl1 Tl 0.0000 0.0000 0.0000
V1 V 0.6667 0.3333 0.5000
Ge1 Ge 0.3333 0.6667 0.5000
I1 I 0.3786 0.0199 0.2852
```



Compound: YTlGeI2
Source: Alexandria
Functional: PBE
Structure: relaxed

## Properties
- M_tot: 0.769 μB/cell
- ΔE_f (raw): 0.24 eV per atom

The structure in CIF format:
```
data_YTlGeI2
_cell_length_a 5.695
_cell_length_b 5.695
_cell_length_c 5.582
_cell_angle_alpha 90.00
_cell_angle_beta 90.00
_cell_angle_gamma 90.00
_symmetry_space_group_name_H-M 'P 4/m m m'
_symmetry_Int_Tables_number 123
_symmetry_space_group_name_Hall '-P 4 2'
loop_
_atom_site_label
_atom_site_type_symbol
_atom_site_fract_x
_atom_site_fract_y
_atom_site_fract_z
Y1 Y 0.000 0.000 0.000
Tl1 Tl 0.500 0.500 0.000
Ge1 Ge 0.500 0.500 0.500
I1 I 0.000 0.500 0.500
```



Compound: YTlGeI6
Source: Alexandria
Functional: PBE
Structure: relaxed

## Properties
- M_tot: 0.000 μB/cell
- ΔE_f (raw): -0.87 eV per atom

The structure in CIF format:
```
data_YTlGeI6
_cell_length_a 7.8101
_cell_length_b 7.8101
_cell_length_c 7.6949
_cell_angle_alpha 90.00
_cell_angle_beta 90.00
_cell_angle_gamma 120.00
_symmetry_space_group_name_H-M 'P 3 1 2'
_symmetry_Int_Tables_number 149
loop_
_symmetry_equiv_pos_as_xyz
'x,y,z'
'-y,x-y,z'
'-x+y,-x,z'
'-y,-x,-z'
'-x+y,y,-z'
'x,x-y,-z'
loop_
_atom_site_label
_atom_site_type_symbol
_atom_site_fract_x
_atom_site_fract_y
_atom_site_fract_z
Y1 Y 0.0000 0.0000 0.0000
Tl1 Tl 0.3333 0.6667 0.5000
Ge1 Ge 0.6667 0.3333 0.0000
I1 I 0.3352 0.0334 0.2267
```



Compound: YTlGe2I8
Source: Alexandria
Functional: PBE
Structure: relaxed

## Properties
- M_tot: 0.000 μB/cell
- ΔE_f (raw): -0.67 eV per atom

The structure in CIF format:
```
data_YTlGe2I8
_cell_length_a 7.187
_cell_length_b 7.720
_cell_length_c 9.569
_cell_angle_alpha 85.74
_cell_angle_beta 87.42
_cell_angle_gamma 86.74
_symmetry_space_group_name_H-M 'P -1'
_symmetry_Int_Tables_number 2
loop_
_symmetry_equiv_pos_as_xyz
'x,y,z'
'-x,-y,-z'
loop_
_atom_site_label
_atom_site_type_symbol
_atom_site_fract_x
_atom_site_fract_y
_atom_site_fract_z
Y1 Y 0.000 0.000 0.000
Tl1 Tl 0.000 0.000 0.500
Ge1 Ge 0.462 0.464 0.746
I1 I 0.238 0.324 0.977
I2 I 0.246 0.829 0.780
I3 I 0.259 0.843 0.226
I4 I 0.275 0.359 0.529
```



Compound: YTl2GeI
Source: Alexandria
Functional: PBE
Structure: relaxed

## Properties
- M_tot: 0.000 μB/cell
- ΔE_f (raw): 0.32 eV per atom

The structure in CIF format:
```
data_YTl2GeI
_cell_length_a 6.363
_cell_length_b 6.363
_cell_length_c 5.233
_cell_angle_alpha 90.00
_cell_angle_beta 90.00
_cell_angle_gamma 90.00
_symmetry_space_group_name_H-M 'P 4/m m m'
_symmetry_Int_Tables_number 123
_symmetry_space_group_name_Hall '-P 4 2'
loop_
_atom_site_label
_atom_site_type_symbol
_atom_site_fract_x
_atom_site_fract_y
_atom_site_fract_z
Y1 Y 0.000 0.000 0.000
Tl1 Tl 0.000 0.500 0.000
Ge1 Ge 0.000 0.000 0.500
I1 I 0.500 0.500 0.500
```



Compound: Tm3GeI3
Source: Alexandria
Functional: PBE
Structure: relaxed

## Properties
- M_tot: 0.000 μB/cell
- ΔE_f (raw): -1.07 eV per atom

The structure in CIF format:
```
data_Tm3GeI3
_cell_length_a 7.0932
_cell_length_b 7.0932
_cell_length_c 33.9566
_cell_angle_alpha 90.00
_cell_angle_beta 90.00
_cell_angle_gamma 120.00
_symmetry_space_group_name_H-M 'R -3'
_symmetry_Int_Tables_number 148
_symmetry_space_group_name_Hall '-R 3'
loop_
_atom_site_label
_atom_site_type_symbol
_atom_site_fract_x
_atom_site_fract_y
_atom_site_fract_z
Tm1 Tm 0.0000 0.3357 0.4554
Ge1 Ge 0.0000 0.0000 0.1667
I1 I 0.0000 0.3324 0.6037
```



Compound: Tm2GeI
Source: Alexandria
Functional: PBE
Structure: relaxed

## Properties
- M_tot: 0.000 μB/cell
- ΔE_f (raw): -0.88 eV per atom

The structure in CIF format:
```
data_Tm2GeI
_cell_length_a 4.2058
_cell_length_b 4.2058
_cell_length_c 21.8537
_cell_angle_alpha 90.00
_cell_angle_beta 90.00
_cell_angle_gamma 120.00
_symmetry_space_group_name_H-M 'R -3 m'
_symmetry_Int_Tables_number 166
_symmetry_space_group_name_Hall '-R 3 2"'
loop_
_atom_site_label
_atom_site_type_symbol
_atom_site_fract_x
_atom_site_fract_y
_atom_site_fract_z
Tm1 Tm 0.0000 0.0000 0.2300
Ge1 Ge 0.0000 0.0000 0.5000
I1 I 0.0000 0.0000 0.0000
```



Compound: Tm3GeI7
Source: Alexandria
Functional: PBE
Structure: relaxed

## Properties
- M_tot: 0.001 μB/cell
- ΔE_f (raw): -1.02 eV per atom

The structure in CIF format:
```
data_Tm3GeI7
_cell_length_a 8.8475
_cell_length_b 8.8475
_cell_length_c 7.2823
_cell_angle_alpha 90.00
_cell_angle_beta 90.00
_cell_angle_gamma 120.00
_symmetry_space_group_name_H-M 'P 3 m 1'
_symmetry_Int_Tables_number 156
loop_
_symmetry_equiv_pos_as_xyz
'x,y,z'
'-y,x-y,z'
'-x+y,-x,z'
'-y,-x,z'
'-x+y,y,z'
'x,x-y,z'
loop_
_atom_site_label
_atom_site_type_symbol
_atom_site_fract_x
_atom_site_fract_y
_atom_site_fract_z
Tm1 Tm 0.1674 0.3348 0.0000
Ge1 Ge 0.0000 0.0000 0.8398
I1 I 0.0093 0.5046 0.7743
I2 I 0.3149 0.1574 0.2422
I3 I 0.3333 0.6667 0.2557
```



Compound: Tm7GeI12
Source: Alexandria
Functional: PBE
Structure: relaxed

## Properties
- M_tot: 0.001 μB/cell
- ΔE_f (raw): -1.17 eV per atom

The structure in CIF format:
```
data_Tm7GeI12
_cell_length_a 15.5509
_cell_length_b 15.5509
_cell_length_c 10.2908
_cell_angle_alpha 90.00
_cell_angle_beta 90.00
_cell_angle_gamma 120.00
_symmetry_space_group_name_H-M 'R -3'
_symmetry_Int_Tables_number 148
_symmetry_space_group_name_Hall '-R 3'
loop_
_atom_site_label
_atom_site_type_symbol
_atom_site_fract_x
_atom_site_fract_y
_atom_site_fract_z
Tm1 Tm 0.0000 0.0000 0.0000
Tm2 Tm 0.0457 0.8842 0.3517
Ge1 Ge 0.0000 0.0000 0.5000
I1 I 0.0220 0.4361 0.1638
I2 I 0.0513 0.8697 0.8364
```



Compound: TmGe2I8
Source: Alexandria
Functional: PBE
Structure: relaxed

## Properties
- M_tot: 0.000 μB/cell
- ΔE_f (raw): -0.60 eV per atom

The structure in CIF format:
```
data_TmGe2I8
_cell_length_a 13.256
_cell_length_b 11.783
_cell_length_c 7.659
_cell_angle_alpha 90.00
_cell_angle_beta 103.31
_cell_angle_gamma 90.00
_symmetry_space_group_name_H-M 'C 1 2/m 1'
_symmetry_Int_Tables_number 12
loop_
_symmetry_equiv_pos_as_xyz
'x,y,z'
'-x,-y,-z'
'-x,y,-z'
'x,-y,z'
'x+1/2,y+1/2,z'
'-x+1/2,-y+1/2,-z'
'-x+1/2,y+1/2,-z'
'x+1/2,-y+1/2,z'
loop_
_atom_site_label
_atom_site_type_symbol
_atom_site_fract_x
_atom_site_fract_y
_atom_site_fract_z
Tm1 Tm 0.000 0.000 0.000
Ge1 Ge 0.188 0.000 0.649
I1 I 0.085 0.178 0.793
I2 I 0.118 0.500 0.168
I3 I 0.205 0.000 0.272
```